! PaGeMoRu, optimized geometry, DFT PBE-GGA; values from VASP
&SYSTEM
  ibrav = 0, nat = 4, ntyp = 4
/
ATOMIC_SPECIES
Pa 231.04 Pa.upf
Ge 72.64 Ge.upf
Mo 95.94 Mo.upf
Ru 101.07 Ru.upf
CELL_PARAMETERS angstrom
0.000 3.277 3.277
3.277 0.000 3.277
3.277 3.277 0.000
ATOMIC_POSITIONS crystal
Pa 0.000 0.000 0.000
Ge 0.500 0.500 0.500
Mo 0.750 0.750 0.750
Ru 0.250 0.250 0.250
! E_tot = -35.04 eV per cell
! energy relative to the elements = -19.8 kJ per mole of atoms

---

! Zn2InGeIr, optimized geometry, DFT PBE-GGA; values from VASP
&SYSTEM
  ibrav = 0, nat = 5, ntyp = 4
/
ATOMIC_SPECIES
Zn 65.41 Zn.upf
In 114.82 In.upf
Ge 72.64 Ge.upf
Ir 192.22 Ir.upf
CELL_PARAMETERS angstrom
4.833 0.000 0.000
0.000 4.833 0.000
0.000 0.000 5.190
ATOMIC_POSITIONS crystal
Zn 0.000 0.500 0.000
Zn 0.500 0.000 0.000
In 0.000 0.000 0.000
Ge 0.000 0.000 0.500
Ir 0.500 0.500 0.500
! E_tot = -11.83 eV per cell
! energy relative to the elements = 133.9 kJ per mole of atoms

---

! LaAgS3, optimized geometry, DFT PBE-GGA; values from VASP
&SYSTEM
  ibrav = 0, nat = 5, ntyp = 3
/
ATOMIC_SPECIES
La 138.91 La.upf
Ag 107.87 Ag.upf
S 32.06 S.upf
CELL_PARAMETERS angstrom
5.535 0.000 0.000
0.000 5.535 0.000
0.000 0.000 5.535
ATOMIC_POSITIONS crystal
La 0.000 0.000 0.000
Ag 0.500 0.500 0.500
S 0.000 0.000 0.500
S 0.000 0.500 0.000
S 0.500 0.000 0.000
! E_tot = -20.84 eV per cell
! formation energy from raw total energies = -136 meV per atom